(1)
UAu2: optimized geometry, GGA-PBEsol.

Properties
spin magnetization	2.109	μB per cell
raw total energy	-6.891	eV/atom
volume	57.8	Å³ per cell

Lattice parameters (Å, degrees): 2.921 4.778 4.778 120.00 90.00 90.00
Site moments in Bohr magnetons follow the coordinates.
Element x y z (fractional)
U 0.500 0.000 0.000  -0.01
Au 0.000 0.667 0.333  -0.01
Au 0.000 0.333 0.667  2.03



(2)
VAu4: optimized geometry, GGA-PBEsol.

Properties
spin magnetization	1.779	μB per cell
raw total energy	-5.077	eV/atom
volume	81.1	Å³ per cell

Lattice parameters (Å, degrees): 3.968 4.936 4.936 80.70 66.30 66.30
Site moments in Bohr magnetons follow the coordinates.
Element x y z (fractional)
Au 0.396 0.809 0.398  0.00
Au 0.604 0.191 0.602  0.00
Au 0.795 0.602 0.809  0.00
Au 0.205 0.398 0.191  0.00
V 0.000 0.000 0.000  1.67



(3)
W3Au: optimized geometry, GGA-PBEsol.

Properties
spin magnetization	0.000	μB per cell
raw total energy	-10.955	eV/atom
volume	63.6	Å³ per cell
offset from the most stable computed form	111	meV per atom

Lattice parameters (Å, degrees): 2.687 4.656 5.080 90.00 90.00 90.00
Element x y z (fractional)
Au 0.000 0.000 0.007
W 0.000 0.500 0.322
W 0.500 0.000 0.517
W 0.500 0.500 0.820



(4)
W3Au: optimized geometry, GGA-PBEsol.

Properties
spin magnetization	0.000	μB per cell
raw total energy	-11.066	eV/atom
volume	62.7	Å³ per cell
offset from the most stable computed form	0	meV per atom

Lattice parameters (Å, degrees): 3.973 3.973 3.973 90.00 90.00 90.00
Element x y z (fractional)
Au 0.000 0.000 0.000
W 0.000 0.500 0.500
W 0.500 0.000 0.500
W 0.500 0.500 0.000



(5)
W3Au: optimized geometry, GGA-PBEsol.

Properties
spin magnetization	0.000	μB per cell
raw total energy	-10.970	eV/atom
volume	63.5	Å³ per cell
offset from the most stable computed form	96	meV per atom

Lattice parameters (Å, degrees): 2.696 5.067 5.461 117.64 104.29 90.00
Element x y z (fractional)
Au 0.000 0.996 0.000
W 0.752 0.427 0.503
W 0.500 0.487 0.000
W 0.248 0.924 0.497



(6)
W3Au: optimized geometry, GGA-PBEsol.

Properties
spin magnetization	0.000	μB per cell
raw total energy	-10.968	eV/atom
volume	63.6	Å³ per cell
offset from the most stable computed form	99	meV per atom

Lattice parameters (Å, degrees): 2.702 4.876 5.066 96.97 90.00 106.09
Element x y z (fractional)
Au 0.000 0.000 0.000
W 0.747 0.494 0.248
W 0.500 0.000 0.500
W 0.253 0.506 0.752



(7)
Y4WAu: optimized geometry, GGA-PBEsol.

Properties
spin magnetization	0.001	μB per cell
raw total energy	-6.645	eV/atom
volume	140.5	Å³ per cell

Lattice parameters (Å, degrees): 5.835 5.835 5.835 60.00 60.00 60.00
Element x y z (fractional)
Au 0.750 0.750 0.750
W 0.000 0.000 0.000
Y 0.374 0.374 0.374
Y 0.374 0.374 0.877
Y 0.877 0.374 0.374
Y 0.374 0.877 0.374



(8)
YWAu: optimized geometry, GGA-PBEsol.

Properties
spin magnetization	0.001	μB per cell
raw total energy	-7.430	eV/atom
volume	67.6	Å³ per cell
offset from the most stable computed form	0	meV per atom

Lattice parameters (Å, degrees): 4.571 4.571 4.571 60.00 60.00 60.00
Element x y z (fractional)
Au 0.250 0.250 0.250
W 0.000 0.000 0.000
Y 0.500 0.500 0.500



(9)
Zn2WAu: optimized geometry, GGA-PBEsol.

Properties
spin magnetization	0.000	μB per cell
raw total energy	-4.967	eV/atom
volume	60.7	Å³ per cell
offset from the most stable computed form	0	meV per atom

Lattice parameters (Å, degrees): 2.725 4.696 5.057 100.73 90.00 106.87
Element x y z (fractional)
Au 0.000 0.000 0.500
W 0.500 0.000 0.000
Zn 0.748 0.496 0.766
Zn 0.252 0.504 0.234



(10)
ZnW2Au: optimized geometry, GGA-PBEsol.

Properties
spin magnetization	0.000	μB per cell
raw total energy	-8.125	eV/atom
volume	62.2	Å³ per cell

Lattice parameters (Å, degrees): 2.719 2.719 9.667 71.44 71.44 71.01
Element x y z (fractional)
Au 0.236 0.236 0.257
W 0.069 0.069 0.995
W 0.779 0.779 0.747
Zn 0.415 0.415 0.501



(11)
ZnW2Au: optimized geometry, GGA-PBEsol.

Properties
spin magnetization	0.000	μB per cell
raw total energy	-7.945	eV/atom
volume	61.4	Å³ per cell

Lattice parameters (Å, degrees): 2.708 5.036 5.036 116.60 90.13 90.13
Element x y z (fractional)
Au 0.500 0.000 0.000
W 0.000 0.500 0.000
W 0.000 0.000 0.500
Zn 0.500 0.500 0.500



(12)
ZnW2Au: optimized geometry, GGA-PBEsol.

Properties
spin magnetization	0.000	μB per cell
raw total energy	-7.926	eV/atom
volume	61.1	Å³ per cell

Lattice parameters (Å, degrees): 2.702 2.702 8.371 90.00 90.00 90.00
Element x y z (fractional)
Au 0.500 0.500 0.500
W 0.000 0.000 0.759
W 0.000 0.000 0.241
Zn 0.500 0.500 0.000



(13)
Zn2WAu: optimized geometry, GGA-PBEsol.

Properties
spin magnetization	1.104	μB per cell
raw total energy	-4.788	eV/atom
volume	59.1	Å³ per cell
offset from the most stable computed form	179	meV per atom

Lattice parameters (Å, degrees): 4.375 4.371 4.375 59.97 90.00 120.03
Site moments in Bohr magnetons follow the coordinates.
Element x y z (fractional)
Au 0.500 0.000 0.500  -0.01
W 0.000 0.000 0.000  0.88
Zn 0.250 0.500 0.250  0.03
Zn 0.750 0.500 0.750  0.03



(14)
ZrW2Au: optimized geometry, GGA-PBEsol.

Properties
spin magnetization	0.000	μB per cell
raw total energy	-9.984	eV/atom
volume	68.5	Å³ per cell
offset from the most stable computed form	62	meV per atom

Lattice parameters (Å, degrees): 4.593 4.593 4.593 60.00 60.00 60.00
Element x y z (fractional)
Au 0.500 0.500 0.500
W 0.000 0.000 0.000
W 0.750 0.750 0.750
Zr 0.250 0.250 0.250



(15)
ZrWAu2: optimized geometry, GGA-PBEsol.

Properties
spin magnetization	1.517	μB per cell
raw total energy	-7.595	eV/atom
volume	69.9	Å³ per cell
offset from the most stable computed form	86	meV per atom

Lattice parameters (Å, degrees): 4.063 4.063 5.115 113.40 113.40 90.00
Site moments in Bohr magnetons follow the coordinates.
Element x y z (fractional)
Au 0.000 0.000 0.000  0.06
Au 0.750 0.250 0.500  0.05
W 0.500 0.500 0.000  0.87
Zr 0.250 0.750 0.500  0.22



(16)
ZrW2Au: optimized geometry, GGA-PBEsol.

Properties
spin magnetization	0.000	μB per cell
raw total energy	-10.047	eV/atom
volume	68.3	Å³ per cell
offset from the most stable computed form	0	meV per atom

Lattice parameters (Å, degrees): 3.415 4.381 4.569 90.00 90.00 90.00
Element x y z (fractional)
Au 0.000 0.500 0.500
W 0.000 0.000 0.000
W 0.500 0.500 0.000
Zr 0.500 0.000 0.500



(17)
ZrWAu: optimized geometry, GGA-PBEsol.

Properties
spin magnetization	2.364	μB per cell
raw total energy	-7.794	eV/atom
volume	64.0	Å³ per cell

Lattice parameters (Å, degrees): 4.489 4.489 4.489 60.00 60.00 60.00
Site moments in Bohr magnetons follow the coordinates.
Element x y z (fractional)
Au 0.000 0.000 0.000  0.09
W 0.500 0.500 0.500  1.58
Zr 0.250 0.250 0.250  0.21



(18)
ZrWAu2: optimized geometry, GGA-PBEsol.

Properties
spin magnetization	0.000	μB per cell
raw total energy	-7.680	eV/atom
volume	68.8	Å³ per cell
offset from the most stable computed form	0	meV per atom

Lattice parameters (Å, degrees): 2.876 2.876 8.321 90.00 90.00 90.00
Element x y z (fractional)
Au 0.000 0.000 0.762
Au 0.000 0.000 0.238
W 0.500 0.500 0.000
Zr 0.500 0.500 0.500



(19)
ZrW2Au: optimized geometry, GGA-PBEsol.

Properties
spin magnetization	0.000	μB per cell
raw total energy	-9.799	eV/atom
volume	68.6	Å³ per cell
offset from the most stable computed form	247	meV per atom

Lattice parameters (Å, degrees): 3.415 3.415 5.880 90.00 90.00 90.00
Element x y z (fractional)
Au 0.500 0.500 0.500
W 0.000 0.000 0.737
W 0.000 0.000 0.263
Zr 0.500 0.500 0.000



(20)
Y3Au: optimized geometry, GGA-PBEsol.

Properties
spin magnetization	0.001	μB per cell
raw total energy	-6.324	eV/atom
volume	99.9	Å³ per cell

Lattice parameters (Å, degrees): 4.484 4.484 5.894 112.36 112.36 90.00
Element x y z (fractional)
Au 0.000 0.000 0.000
Y 0.750 0.250 0.500
Y 0.500 0.500 0.000
Y 0.250 0.750 0.500



(21)
Y3Au2: optimized geometry, GGA-PBEsol.

Properties
spin magnetization	0.001	μB per cell
raw total energy	-6.388	eV/atom
volume	242.2	Å³ per cell

Lattice parameters (Å, degrees): 3.756 8.029 8.029 90.00 90.00 90.00
Element x y z (fractional)
Y 0.000 0.500 0.500
Y 0.000 0.000 0.000
Y 0.500 0.663 0.163
Y 0.500 0.337 0.837
Y 0.500 0.163 0.337
Y 0.500 0.837 0.663
Au 0.000 0.132 0.632
Au 0.000 0.868 0.368
Au 0.000 0.632 0.868
Au 0.000 0.368 0.132



(22)
YAu: optimized geometry, GGA-PBEsol.

Properties
spin magnetization	0.000	μB per cell
raw total energy	-6.242	eV/atom
volume	89.1	Å³ per cell

Lattice parameters (Å, degrees): 3.537 4.982 5.053 90.00 90.00 90.00
Element x y z (fractional)
Y 0.500 0.250 0.760
Y 0.500 0.750 0.240
Au 0.000 0.250 0.275
Au 0.000 0.750 0.725



(23)
Y2Au3: optimized geometry, GGA-PBEsol.

Properties
spin magnetization	0.000	μB per cell
raw total energy	-5.739	eV/atom
volume	118.0	Å³ per cell

Lattice parameters (Å, degrees): 4.813 4.813 5.880 90.00 90.00 120.00
Element x y z (fractional)
Au 0.000 0.000 0.000
Au 0.333 0.667 0.211
Au 0.667 0.333 0.789
Y 0.333 0.667 0.711
Y 0.667 0.333 0.289



(24)
YAu2: optimized geometry, GGA-PBEsol.

Properties
spin magnetization	0.000	μB per cell
raw total energy	-5.668	eV/atom
volume	122.1	Å³ per cell

Lattice parameters (Å, degrees): 4.904 4.904 5.864 90.00 90.00 120.00
Element x y z (fractional)
Y 0.667 0.333 0.250
Y 0.333 0.667 0.750
Au 0.000 0.000 0.000
Au 0.000 0.000 0.500
Au 0.667 0.333 0.750
Au 0.333 0.667 0.250



(25)
YAu22: optimized geometry, GGA-PBEsol.

Properties
spin magnetization	0.000	μB per cell
raw total energy	-4.078	eV/atom
volume	826.1	Å³ per cell

Lattice parameters (Å, degrees): 10.532 10.532 10.532 60.00 60.00 60.00
Element x y z (fractional)
Au 0.445 0.183 0.445
Au 0.445 0.927 0.445
Au 0.927 0.445 0.183
Au 0.183 0.445 0.927
Au 0.927 0.183 0.445
Au 0.183 0.927 0.445
Au 0.445 0.445 0.927
Au 0.445 0.445 0.183
Au 0.445 0.183 0.927
Au 0.445 0.927 0.183
Au 0.183 0.445 0.445
Au 0.927 0.445 0.445
Au 0.805 0.323 0.805
Au 0.805 0.067 0.805
Au 0.323 0.805 0.067
Au 0.067 0.805 0.323
Au 0.323 0.805 0.805
Au 0.067 0.805 0.805
Au 0.805 0.067 0.323
Au 0.805 0.323 0.067
Au 0.805 0.805 0.323
Au 0.805 0.805 0.067
Au 0.067 0.323 0.805
Au 0.323 0.067 0.805
Au 0.890 0.890 0.610
Au 0.610 0.610 0.890
Au 0.610 0.890 0.890
Au 0.890 0.610 0.610
Au 0.610 0.890 0.610
Au 0.890 0.610 0.890
Au 0.360 0.640 0.640
Au 0.640 0.360 0.360
Au 0.640 0.640 0.360
Au 0.360 0.360 0.640
Au 0.640 0.360 0.640
Au 0.360 0.640 0.360
Au 0.125 0.625 0.125
Au 0.125 0.125 0.125
Au 0.125 0.125 0.625
Au 0.625 0.125 0.125
Au 0.625 0.125 0.625
Au 0.625 0.625 0.625
Au 0.625 0.625 0.125
Au 0.125 0.625 0.625
Y 0.250 0.250 0.250
Y 0.000 0.000 0.000



(26)
YAu5: optimized geometry, GGA-PBEsol.

Properties
spin magnetization	0.000	μB per cell
raw total energy	-4.802	eV/atom
volume	112.1	Å³ per cell

Lattice parameters (Å, degrees): 3.605 3.605 8.625 90.00 90.00 90.00
Element x y z (fractional)
Y 0.500 0.500 0.500
Au 0.000 0.000 0.679
Au 0.500 0.500 0.839
Au 0.000 0.000 0.000
Au 0.500 0.500 0.161
Au 0.000 0.000 0.321



(27)
YAu: optimized geometry, GGA-PBEsol.

Properties
spin magnetization	0.000	μB per cell
raw total energy	-6.276	eV/atom
volume	91.8	Å³ per cell

Lattice parameters (Å, degrees): 3.686 4.601 5.719 90.00 108.80 90.00
Element x y z (fractional)
Y 0.139 0.250 0.278
Y 0.861 0.750 0.722
Au 0.586 0.750 0.173
Au 0.414 0.250 0.827